(1)
Compound: InFeOsSe2
Source: the Alexandria database
Functional: GGA-PBE
Structure: relaxed

Properties
- DOS(E_F): 10.647 states/eV per cell
- Formation energy (no corrections): 1.3082 eV per atom
- M_tot: 0.43 μB/f.u.

Structure (extended XYZ):
```
5
Lattice="4.795 0.000 0.000 0.000 4.795 0.000 0.000 0.000 5.303" Properties=species:S:1:pos:R:3 pbc="T T T"
In 0.000 0.000 0.000
Fe 2.397 2.397 0.000
Os 0.000 0.000 2.651
Se 0.000 2.397 2.651
Se 2.397 0.000 2.651
```

---

(2)
Compound: Pr6Hg2Os
Source: the Alexandria database
Functional: GGA-PBE
Structure: relaxed

Properties
- ΔE to the lowest computed polymorph: 0.033 eV per atom
- DOS(E_F): 15.570 states/eV per cell
- M_tot: 0.00 μB/f.u.
- Formation enthalpy at 0 K: -150.5 meV per atom

Structure (extended XYZ):
```
18
Lattice="-4.976 5.197 5.283 4.976 -5.197 5.283 4.976 5.197 -5.283" Properties=species:S:1:pos:R:3 pbc="T T T"
Pr 4.976 3.496 -2.712
Pr 2.703 1.877 0.000
Pr 7.249 1.877 0.000
Pr 3.340 0.000 2.840
Pr 6.611 0.000 2.840
Pr 0.000 1.702 2.571
Pr 4.976 3.496 2.712
Pr -1.635 5.197 2.443
Pr 1.635 5.197 2.443
Pr -2.273 3.320 5.283
Pr 2.273 3.320 5.283
Pr 0.000 1.702 7.995
Hg 0.000 3.682 0.000
Hg 3.554 5.197 0.000
Hg 1.422 0.000 5.283
Hg 0.000 6.713 0.000
Os 0.000 0.000 0.000
Os 4.976 0.000 0.000
```

---

(3)
Compound: Mg2Ni5As3
Source: the Alexandria database
Functional: GGA-PBE
Structure: relaxed

Properties
- DOS(E_F): 12.394 states/eV per cell
- M_tot: 0.00 μB/f.u.
- Formation enthalpy at 0 K: -325.4 meV per atom

Structure (extended XYZ):
```
20
Lattice="1.984 -10.970 0.000 1.984 10.970 0.000 0.000 0.000 6.561" Properties=species:S:1:pos:R:3 pbc="T T T"
Mg 1.984 10.551 3.280
Mg 1.984 3.854 3.529
Mg 1.984 -3.854 0.249
Mg 1.984 -10.551 0.000
Ni 1.984 8.852 5.868
Ni 1.984 6.400 2.629
Ni 1.984 6.089 5.244
Ni 1.984 2.721 6.294
Ni 1.984 1.195 4.205
Ni 1.984 -1.195 0.925
Ni 1.984 -2.721 3.014
Ni 1.984 -6.089 1.964
Ni 1.984 -6.400 5.909
Ni 1.984 -8.852 2.588
As 1.984 8.530 1.613
As 1.984 4.864 0.704
As 1.984 1.193 1.717
As 1.984 -1.193 4.998
As 1.984 -4.864 3.984
As 1.984 -8.530 4.893
```

---

| no. | uncorrected energy (eV per atom) | calculated volume (A^3/atom) |
| --- | --- | --- |
| 1 | -4.5718 | 24.382 |
| 2 | -4.6516 | 30.363 |
| 3 | -4.9299 | 14.281 |